Entry i
PrGe2PtAu GGA-PBE optimized geometry; SG = P4/nmm, No. 129; volume = 102.5 Å³/f.u.; total moment = 0.0 Bohr magnetons per cell; calculated density = 10.99 g cm⁻³
1.0
-1.092 -1.473 -4.014
1.890 -3.883 0.911
-9.150 -3.562 3.797
Au Ge Pr Pt
2 4 2 2
Cartesian
-2.356 -3.226 1.825
-6.395 -3.013 0.420
-0.165 -2.373 0.916
-4.575 -1.781 1.899
-4.176 -4.459 0.347
-8.587 -3.866 1.330
-2.721 -1.583 -1.105
-6.030 -4.656 3.350
0.000 0.000 0.000
0.399 -2.678 -1.551

---

Entry ii
PrGe2PtAu GGA-PBE optimized geometry; SG = P4/nmm, No. 129; volume = 101.5 Å³/f.u.; total moment = 0.0 Bohr magnetons per cell; calculated density = 11.09 g cm⁻³
1.0
4.436 0.000 0.000
0.000 4.436 0.000
0.000 0.000 10.320
Au Ge Pr Pt
2 4 2 2
Cartesian
0.000 0.000 0.000
2.218 2.218 0.000
2.218 0.000 1.490
0.000 0.000 5.160
2.218 2.218 5.160
0.000 2.218 8.831
0.000 2.218 2.631
2.218 0.000 7.689
2.218 0.000 3.943
0.000 2.218 6.377

---

How far above the most stable structure does each one sit? In meV per atom: entry i 92; entry ii 0.